5
Lattice="4.847 0.000 0.000 0.000 4.847 0.000 0.000 0.000 4.847" Properties=species:S:1:pos:R:3 comment="TaCoTe3, single point on PBEsol structure, DFT meta-GGA SCAN" formation_energy_uncorrected_mev_per_atom=899 dft_energy_ev_per_fu=-191.145 pbc="T T T"
Ta 0.000 0.000 0.000
Co 2.424 2.424 2.424
Te 0.000 2.424 2.424
Te 2.424 0.000 2.424
Te 2.424 2.424 0.000